NaEuNb2O6: optimized geometry, PBE.

Cell: 5.719 5.719 5.719 Å, 60.00 60.00 60.00°
Each line ends with the local moment (μB).
Element x y z (fractional)
Nb: 0.250 0.250 0.250  0.04
O: 0.000 0.500 0.000  0.00
O: 0.500 0.000 0.000  0.00
Eu: 0.500 0.500 0.500  -6.79
O: 0.000 0.500 0.500  0.00
O: 0.000 0.000 0.500  0.00
Nb: 0.750 0.750 0.750  0.04
O: 0.500 0.500 0.000  0.00
Na: 0.000 0.000 0.000  0.00
O: 0.500 0.000 0.500  0.00

Calculated values
The value obtained for the total energy is -8.75 eV per atom. As for the space group: Fm-3m (225). As for the formation energy from raw total energies: -2599 meV per atom. The calculation puts the density of states at the Fermi level at 1.15 states/eV per atom.